# 1
Entry from Alexandria via LeMat-Bulk: SrCaOsPb2 after structural relaxation (PBE-GGA).

```
SrCaOsPb2
1.0
-3.774 3.006 -2.423
-0.722 -3.897 -3.711
-3.793 -2.257 3.109
Os Sr Ca Pb
1 1 1 2
Direct
0.000 0.000 0.000 Os
0.500 0.500 0.500 Sr
0.000 0.500 0.000 Ca
0.000 0.000 0.500 Pb
0.500 0.000 0.000 Pb
```

For the energy relative to the elements, the calculation gives 0.1502 eV/atom. Its raw total energy is -21.58 eV per cell. Its space group is No. 123.

# 2
Entry from Alexandria via LeMat-Bulk: Sr2YIn after structural relaxation (PBE-GGA).

```
Sr2YIn
1.0
-7.232 -3.447 5.177
5.270 -7.612 2.294
0.208 -3.873 6.500
Sr Y In
4 2 2
Direct
0.085 0.625 0.250 Sr
0.665 0.125 0.250 Sr
0.375 0.335 0.750 Sr
0.875 0.915 0.750 Sr
0.500 0.500 0.000 Y
0.250 0.750 0.500 Y
0.000 0.000 0.000 In
0.750 0.250 0.500 In
```

For the energy relative to the elements, the calculation gives 0.1638 eV/atom. Its raw total energy is -23.82 eV per cell. Its space group is No. 122.

# 3
Entry from Alexandria via LeMat-Bulk: CsKNa2Ga after structural relaxation (PBE-GGA).

```
CsKNa2Ga
1.0
6.139 0.000 0.000
0.000 6.139 0.000
0.000 0.000 6.634
Na K Cs Ga
2 1 1 1
Direct
0.000 0.500 0.000 Na
0.500 0.000 0.000 Na
0.000 0.000 0.500 K
0.500 0.500 0.500 Cs
0.000 0.000 0.000 Ga
```

For the energy relative to the elements, the calculation gives 0.0766 eV/atom. Its raw total energy is -7.23 eV per cell. The value obtained for the energy above the most stable polymorph in this dataset is 0 meV/atom. Its space group is No. 123.

# 4
Entry from Alexandria via LeMat-Bulk: ZnGa8Ag2 after structural relaxation (PBE-GGA).

```
ZnGa8Ag2
1.0
-0.875 4.788 -0.917
-1.951 2.006 6.239
5.379 2.762 3.193
Zn Ga Ag
1 8 2
Direct
0.000 0.000 0.000 Zn
0.217 0.353 0.773 Ga
0.327 0.372 0.372 Ga
0.217 0.773 0.353 Ga
0.900 0.247 0.247 Ga
0.783 0.647 0.227 Ga
0.673 0.628 0.628 Ga
0.100 0.753 0.753 Ga
0.783 0.227 0.647 Ga
0.535 0.870 0.870 Ag
0.465 0.130 0.130 Ag
```

For the energy relative to the elements, the calculation gives 0.0506 eV/atom. Its raw total energy is -30.63 eV per cell. The value obtained for the energy above the most stable polymorph in this dataset is 0 meV/atom. Its space group is No. 12.

# 5
Entry from Alexandria via LeMat-Bulk: ScPtPb2 after structural relaxation (PBE-GGA).

```
ScPtPb2
1.0
-1.119 1.118 4.830
0.949 -3.379 3.676
3.734 0.860 3.340
Pt Pb Sc
1 2 1
Direct
0.500 0.500 0.500 Pt
0.250 0.250 0.250 Pb
0.000 0.000 0.000 Pb
0.750 0.750 0.750 Sc
```

For the energy relative to the elements, the calculation gives -0.1833 eV/atom. Its raw total energy is -20.52 eV per cell. The value obtained for the energy above the most stable polymorph in this dataset is 314 meV/atom. Its space group is No. 216.

# 6
Entry from Alexandria via LeMat-Bulk: ScMn3Ag after structural relaxation (PBE-GGA).

```
ScMn3Ag
1.0
-2.490 -1.510 -3.603
-3.172 -1.711 2.910
-2.280 4.031 -0.115
Mn Ag Sc
3 1 1
Direct
0.000 0.000 0.500 Mn
0.500 0.000 0.000 Mn
0.000 0.500 0.000 Mn
0.500 0.500 0.500 Ag
0.000 0.000 0.000 Sc
```

For the energy relative to the elements, the calculation gives 1.3257 eV/atom. Its raw total energy is -30.06 eV per cell. The value obtained for the energy above the most stable polymorph in this dataset is 290 meV/atom. Its space group is No. 221.